26
Lattice="-3.5122 -4.1875 -1.7249 5.9667 -2.0023 -3.5540 0.6743 -1.8626 9.3780" Properties=species:S:1:pos:R:3 comment="SrCo2As2O8 (PBE+U, relaxed)" e_tot_ev_per_cell=-162.439 pbc="T T T"
O 0.4531 -5.0549 -0.5165
O 2.8003 -3.5773 -2.8664
O 0.3285 -4.4752 6.9655
O 3.7804 -5.5904 3.4089
O 0.8106 -4.8451 3.0232
O 4.4850 -2.8306 -0.7385
O 5.5218 -4.0808 1.8455
O -2.3929 -3.9716 2.2535
O 2.6756 -2.9975 4.6156
O -2.7071 -4.1191 -0.5092
O 5.8358 -3.9333 4.6083
O 1.1375 -6.5621 4.9695
O -0.6516 -2.4620 0.6902
O 1.9912 -1.4902 -0.8704
O 2.3181 -3.2073 1.0757
O -1.3562 -5.2218 4.8376
Sr 0.6337 -2.3052 3.0686
Sr 2.4951 -5.7473 1.0305
As 3.6723 -5.0787 -2.7318
As -0.1348 -5.9826 3.9150
As -0.5435 -2.9737 6.8309
As 3.2636 -2.0698 0.1840
Co 4.6805 -2.4113 -2.7603
Co 2.4316 -4.9993 4.8149
Co -1.5517 -5.6411 6.8594
Co 0.6973 -3.0531 -0.7158